Entry 1:
A plane-wave DFT calculation with PBE was carried out for a relaxed structure of UTiAg.

Unit cell a=3.2957 b=3.2957 c=11.3512 alpha=98.35 beta=98.35 gamma=90.00
Last column: nearest neighbours and their distance in Å.
Fractional coordinates of all 6 atoms:
Ag1 0.5609 0.5609 0.1218  1 Ag 2.71, 4 Ti 2.85
Ag2 0.4391 0.4391 0.8782  1 Ag 2.71, 4 Ti 2.85
Ti1 0.8649 0.8649 0.7299  4 Ag 2.85, 4 U 2.97
Ti2 0.1351 0.1351 0.2701  4 Ag 2.85, 4 U 2.97
U1 0.2824 0.2824 0.5648  4 U 2.74, 4 Ti 2.97
U2 0.7176 0.7176 0.4352  4 U 2.74, 4 Ti 2.97

Properties
Calculated volume: 120.7 Å³/cell
Spin magnetization: 0.00 μB/atom
VASP energy: -7.1217 eV/atom

---

Entry 2:
A plane-wave DFT calculation with PBE was carried out for a relaxed structure of La2Zr2Cr.

Unit cell a=6.9084 b=6.9084 c=5.5340 alpha=90.00 beta=90.00 gamma=90.00
Last column: nearest neighbours and their distance in Å.
Fractional coordinates of all 10 atoms:
Zr1 0.1588 0.3412 0.0000  2 Cr 2.60
Zr2 0.3412 0.8412 0.0000  2 Cr 2.60
Zr3 0.6588 0.1588 0.0000  2 Cr 2.60
Zr4 0.8412 0.6588 0.0000  2 Cr 2.60
La1 0.3320 0.1680 0.5000  6 Zr 3.24-3.57, 1 La 3.28
La2 0.8320 0.3320 0.5000  6 Zr 3.24-3.57, 1 La 3.28
La3 0.1680 0.6680 0.5000  6 Zr 3.24-3.57, 1 La 3.28
La4 0.6680 0.8320 0.5000  6 Zr 3.24-3.57, 1 La 3.28
Cr1 0.0000 0.0000 0.0000  4 Zr 2.60
Cr2 0.5000 0.5000 0.0000  4 Zr 2.60

Properties
Calculated volume: 264.1 Å³/cell
Spin magnetization: 0.33 μB/atom
VASP energy: -6.9394 eV/atom

---

Entry 3:
A plane-wave DFT calculation with PBE was carried out for a relaxed structure of Pr2ScGe4Ir3.

Unit cell a=4.2851 b=4.2851 c=10.7791 alpha=90.00 beta=90.00 gamma=90.00
Last column: nearest neighbours and their distance in Å.
Fractional coordinates of all 10 atoms:
Sc1 0.5000 0.5000 0.5000  4 Ge 2.70
Pr1 0.0000 0.5000 0.7637  8 Ge 3.26-3.33, 6 Ir 3.28-3.56, 2 Sc 3.56
Pr2 0.5000 0.0000 0.2363  8 Ge 3.26-3.33, 6 Ir 3.28-3.56, 2 Sc 3.56
Ge1 0.5000 0.5000 0.0000  4 Ir 2.50
Ge2 0.0000 0.5000 0.3482  3 Ir 2.47-2.70, 2 Sc 2.70
Ge3 0.0000 0.0000 0.0000  4 Ir 2.50
Ge4 0.5000 0.0000 0.6518  3 Ir 2.47-2.70, 2 Sc 2.70
Ir1 0.0000 0.0000 0.5000  4 Ge 2.70
Ir2 0.5000 0.0000 0.8813  5 Ge 2.47-2.50
Ir3 0.0000 0.5000 0.1187  5 Ge 2.47-2.50

Properties
Calculated volume: 197.9 Å³/cell
Spin magnetization: 0.00 μB/atom
VASP energy: -6.8700 eV/atom

---

Entry 4:
A plane-wave DFT calculation with PBE was carried out for a relaxed structure of Sr4PuN5.

Unit cell a=5.2668 b=6.3649 c=6.3648 alpha=80.14 beta=65.56 gamma=65.56
Last column: nearest neighbours and their distance in Å.
Fractional coordinates of all 10 atoms:
Sr1 0.4019 0.3999 0.8113  5 N 2.59-2.68
Sr2 0.8018 0.8113 0.6001  5 N 2.59-2.68
Sr3 0.6131 0.6001 0.1887  5 N 2.59-2.68
Sr4 0.2132 0.1887 0.3999  5 N 2.59-2.68
N1 0.2490 0.8337 0.6809  1 Pu 2.09
N2 0.4349 0.0000 0.0000  1 Pu 2.18
N3 0.9299 0.3191 0.8336  1 Pu 2.09
N4 0.0826 0.6809 0.1664  1 Pu 2.09
N5 0.7635 0.1664 0.3191  1 Pu 2.09
Pu1 0.0204 0.0000 0.0000  5 N 2.09-2.18

Properties
Calculated volume: 176.8 Å³/cell
Energy relative to the elements, uncorrected: -8.34 eV/f.u.
Spin magnetization: 0.10 μB/atom

---

Entry 5:
A plane-wave DFT calculation with PBE was carried out for a relaxed structure of LaTcI2N.

Unit cell a=5.6573 b=5.6573 c=3.8411 alpha=90.00 beta=90.00 gamma=90.00
Last column: nearest neighbours and their distance in Å.
Fractional coordinates of all 5 atoms:
I1 0.5000 0.0000 0.0000  2 Tc 2.83
I2 0.0000 0.5000 0.0000  2 Tc 2.83
La1 0.5000 0.5000 0.5000  8 I 3.42
Tc1 0.0000 0.0000 0.0000  2 N 1.92
N1 0.0000 0.0000 0.5000  2 Tc 1.92

Properties
Calculated volume: 122.9 Å³/cell
Energy relative to the elements, uncorrected: -0.88 eV/f.u.
Energy relative to the lowest polymorph listed for this composition: 0.000 eV per atom
Spin magnetization: 0.00 μB/atom

---

Entry 6:
A plane-wave DFT calculation with PBE was carried out for a relaxed structure of KTaP2Se8.

Unit cell a=6.3766 b=6.3766 c=10.5524 alpha=72.41 beta=72.41 gamma=60.00
Last column: nearest neighbours and their distance in Å.
Fractional coordinates of all 12 atoms:
Se1 0.2917 0.9363 0.1467  1 P 2.30, 1 Ta 2.57
Se2 0.7083 0.0637 0.8533  1 P 2.30, 1 Ta 2.57
Se3 0.9363 0.6253 0.1467  1 P 2.30, 1 Ta 2.57
Se4 0.1893 0.1893 0.4320  1 P 2.14
Se5 0.0637 0.3747 0.8533  1 P 2.30, 1 Ta 2.57
Se6 0.8107 0.8107 0.5680  1 P 2.14
Se7 0.6253 0.2917 0.1467  1 P 2.30, 1 Ta 2.57
Se8 0.3747 0.7083 0.8533  1 P 2.30, 1 Ta 2.57
P1 0.2614 0.2614 0.2156  4 Se 2.14-2.30
P2 0.7386 0.7386 0.7844  4 Se 2.14-2.30
Ta1 0.0000 0.0000 0.0000  6 Se 2.57
K1 0.5000 0.5000 0.5000  12 Se 3.74-4.05

Properties
Calculated volume: 348.2 Å³/cell
Energy relative to the elements, uncorrected: -4.12 eV/f.u.
Spin magnetization: 0.00 μB/atom

---

Question: The highest spin magnetization belongs to which entry?
Answer: La2Zr2Cr

---

Question: The highest spin magnetization belongs to which entry?
Answer: La2Zr2Cr

---

Question: What is the spin magnetization in the fourth record?
Answer: 0.10 μB/atom

---

Please write out number 2 again, unchanged.
A plane-wave DFT calculation with PBE was carried out for a relaxed structure of La2Zr2Cr.

Unit cell a=6.9084 b=6.9084 c=5.5340 alpha=90.00 beta=90.00 gamma=90.00
Last column: nearest neighbours and their distance in Å.
Fractional coordinates of all 10 atoms:
Zr1 0.1588 0.3412 0.0000  2 Cr 2.60
Zr2 0.3412 0.8412 0.0000  2 Cr 2.60
Zr3 0.6588 0.1588 0.0000  2 Cr 2.60
Zr4 0.8412 0.6588 0.0000  2 Cr 2.60
La1 0.3320 0.1680 0.5000  6 Zr 3.24-3.57, 1 La 3.28
La2 0.8320 0.3320 0.5000  6 Zr 3.24-3.57, 1 La 3.28
La3 0.1680 0.6680 0.5000  6 Zr 3.24-3.57, 1 La 3.28
La4 0.6680 0.8320 0.5000  6 Zr 3.24-3.57, 1 La 3.28
Cr1 0.0000 0.0000 0.0000  4 Zr 2.60
Cr2 0.5000 0.5000 0.0000  4 Zr 2.60

Properties
Calculated volume: 264.1 Å³/cell
Spin magnetization: 0.33 μB/atom
VASP energy: -6.9394 eV/atom